Computed, not measured: an optimized crystal structure of Bi3SbN at the PBE level of DFT.

a = 4.292 Å, b = 7.437 Å, c = 11.261 Å
α = 58.50°, β = 89.99°, γ = 89.98°
Atoms (fractional coordinates):
Bi 0.434 0.286 0.410
Bi 0.934 0.013 0.644
Bi 0.434 0.378 0.879
Bi 0.934 0.427 0.138
Bi 0.934 0.922 0.176
Bi 0.434 0.873 0.916
Sb 0.934 0.601 0.659
Sb 0.434 0.699 0.396
N 0.434 0.521 0.012
N 0.934 0.779 0.042

The value obtained for the energy above the lowest structure with this stoichiometry is 0 meV per atom. For the energy relative to the elements, uncorrected, the calculation gives 0.360 eV/atom. The total DFT energy (no corrections) comes out at -22.29 eV per formula unit. As for the symmetry: P2_1/m (11).